{
  "formula": "UInNi2O6",
  "functional": "PBE with a Hubbard U",
  "state": "relaxed",
  "lattice_angstrom": [[-4.093, 0.525, -0.224], [-0.842, -5.672, 2.078], [-0.043, 2.103, 5.725]],
  "species": ["O", "O", "O", "O", "O", "O", "Ni", "Ni", "U", "In"],
  "fractional_positions": [[0.745, 0.758, 0.242], [0.243, 0.500, 0.500], [0.745, 0.242, 0.758], [0.745, 0.242, 0.242], [0.244, 0.000, 0.000], [0.745, 0.758, 0.758], [0.747, 0.500, 0.000], [0.747, 0.000, 0.500], [0.744, 0.000, 0.000], [0.742, 0.500, 0.500]],
  "crystal_system": "tetragonal",
  "energy_ev_per_atom": -6.40,
  "magmom_total_mub_per_cell": 3.0,
  "dos_ef_per_ev_cell": 5.2
}